# Be3HgGe | the Alexandria database | GGA-PBEsol | relaxed
data_Be3HgGe
_chemical_formula_sum 'Be3 Hg1 Ge1'
_symmetry_space_group_name_H-M 'P 1'
_symmetry_Int_Tables_number 1
_symmetry_space_group_name_Hall 'P 1'
_cell_length_a 4.415
_cell_length_b 4.415
_cell_length_c 4.415
_cell_angle_alpha 90.00
_cell_angle_beta 90.00
_cell_angle_gamma 90.00
loop_
_atom_site_label
_atom_site_type_symbol
_atom_site_fract_x
_atom_site_fract_y
_atom_site_fract_z
_atom_site_occupancy
Be1 Be 0.000 0.500 0.000 1
Be2 Be 0.000 0.000 0.500 1
Be3 Be 0.500 0.000 0.000 1
Ge1 Ge 0.500 0.500 0.500 1
Hg1 Hg 0.000 0.000 0.000 1
# DFT total energy	-2.543	eV per atom
# formation energy	0.958	eV per atom